# 1
A geometry-optimized Cs2HgAu2 structure. Source: Alexandria via LeMat-Bulk, functional GGA-PBEsol.

```
5
Lattice="6.4237 0.0000 0.0000 0.0000 6.4237 0.0000 -3.2119 -3.2119 5.8464" Properties=species:S:1:pos:R:3 pbc="T T T"
Au 3.2119 0.0000 2.9232
Hg 0.0000 0.0000 0.0000
Au 0.0000 3.2119 2.9232
Cs 0.0000 0.0000 3.8956
Cs 3.2119 3.2119 1.9508
```

**Distance to the lowest polymorph of the same formula**: 276 meV per atom
**Formation enthalpy at 0 K**: 112 meV/atom
**Electronic total energy**: -1.95 eV per atom
**DOS at the Fermi energy**: 0.000 states/eV/f.u.

# 2
A geometry-optimized CsAu3I structure. Source: Alexandria via LeMat-Bulk, functional GGA-PBEsol.

```
5
Lattice="5.6345 0.0000 0.0000 0.0000 5.6345 0.0000 0.0000 0.0000 5.6345" Properties=species:S:1:pos:R:3 pbc="T T T"
Au 0.0000 0.0000 2.8173
Au 2.8173 0.0000 0.0000
I 2.8173 2.8173 2.8173
Cs 0.0000 0.0000 0.0000
Au 0.0000 2.8173 0.0000
```

**Electronic total energy**: -1.57 eV per atom
**DOS at the Fermi energy**: 3.342 states/eV/f.u.
**Formation energy (no corrections)**: 1329 meV per atom

# 3
A geometry-optimized CsAuIN2 structure. Source: Alexandria via LeMat-Bulk, functional GGA-PBEsol.

```
5
Lattice="-2.8064 -0.7174 3.1833 2.1882 -3.5284 1.1339 4.2003 4.0912 4.6250" Properties=species:S:1:pos:R:3 pbc="T T T"
Cs 0.0000 0.0000 0.0000
I 2.1002 2.0456 2.3125
N -1.4032 -0.3587 1.5916
Au 1.7910 -0.0773 4.4711
N 1.0941 -1.7642 0.5670
```

**Electronic total energy**: -2.57 eV per atom
**DOS at the Fermi energy**: 2.797 states/eV/f.u.
**Formation energy (no corrections)**: 2170 meV per atom

# 4
A geometry-optimized CsAuI4O12 structure. Source: Alexandria via LeMat-Bulk, functional GGA-PBEsol.

```
36
Lattice="-5.2323 1.1983 -5.3482 -5.0632 -5.3599 2.7213 -8.0083 5.7166 4.5508" Properties=species:S:1:pos:R:3 pbc="T T T"
I -9.4059 2.8587 -1.1022
O -9.8345 -1.8818 1.3789
I -12.0267 0.3159 0.7799
O -7.1451 -0.4099 1.1819
O -11.1587 1.9650 0.7419
Cs -15.9835 1.6926 1.0706
O -8.4693 3.4369 0.5449
O -13.3144 0.8723 2.1261
O -10.9905 -0.4432 -1.0397
Au -4.9163 1.5882 -1.9680
O -12.9104 1.7084 4.7014
Cs -2.3203 -0.1375 0.8532
I -8.8978 -1.3036 3.0260
O -11.3965 3.9284 2.9511
O -10.1877 -2.0271 4.0977
O -8.1161 3.5822 -2.1738
O -8.4615 4.5344 2.9880
O -5.0310 0.6909 2.3848
O -8.5951 1.2474 -0.8686
O -13.2728 0.8641 -0.4610
O -9.1864 2.7268 4.8061
O -5.3934 -0.1534 -2.7776
Au -13.3875 -0.0331 3.8918
O -9.1173 -1.1717 -2.8823
O -9.8423 -2.9793 -1.0641
O -7.1719 -3.2028 1.6337
I -9.0396 2.7008 3.0160
O -11.1318 4.7579 0.2901
O -6.9072 -2.3733 -1.0272
I -5.9593 -2.4636 0.5235
O -4.9894 0.6828 -0.2022
I -6.2771 1.2391 1.1439
O -7.3133 1.9983 2.9635
I -9.2642 -1.1457 -1.0922
O -9.7087 0.3077 2.7924
I -12.3445 4.0186 1.4003
```

**Electronic total energy**: -4.65 eV per atom
**DOS at the Fermi energy**: 0.000 states/eV/f.u.
**Formation energy (no corrections)**: -486 meV per atom

# 5
A geometry-optimized CsSb2AuI structure. Source: Alexandria via LeMat-Bulk, functional GGA-PBEsol.

```
5
Lattice="-6.6146 0.2122 1.5262 -1.6619 -2.8900 -6.8008 0.4370 -6.9969 2.8666" Properties=species:S:1:pos:R:3 pbc="T T T"
Sb 0.2185 -3.4985 1.4333
I -3.3073 0.1061 0.7631
Au -3.9198 -4.8374 -1.2040
Sb -0.8310 -1.4450 -3.4004
Cs 0.0000 0.0000 0.0000
```

**Electronic total energy**: -1.67 eV per atom
**DOS at the Fermi energy**: 2.951 states/eV/f.u.
**Formation energy (no corrections)**: 1478 meV per atom

# 6
A geometry-optimized Cs2SbAuI6 structure. Source: Alexandria via LeMat-Bulk, functional GGA-PBEsol.

```
10
Lattice="8.3174 0.0000 0.0000 4.1587 7.2030 0.0000 4.1587 2.4010 6.7911" Properties=species:S:1:pos:R:3 pbc="T T T"
I 8.3174 2.4469 1.7302
Au 8.3174 4.8020 3.3955
I 8.3174 7.1571 5.0609
Cs 4.1587 2.4010 1.6978
Sb 0.0000 0.0000 0.0000
I 10.3569 3.6245 5.0609
I 6.2778 3.6245 5.0609
I 6.2778 5.9796 1.7302
I 10.3569 5.9796 1.7302
Cs 12.4760 7.2030 5.0933
```

**Electronic total energy**: -2.85 eV per atom
**DOS at the Fermi energy**: 1.313 states/eV/f.u.
**Formation energy (no corrections)**: -752 meV per atom

# 7
A geometry-optimized Cs2ScAuI6 structure. Source: Alexandria via LeMat-Bulk, functional GGA-PBEsol.

```
10
Lattice="8.2075 0.0000 0.0000 4.1038 7.1079 0.0000 4.1038 2.3693 6.7014" Properties=species:S:1:pos:R:3 pbc="T T T"
Cs 12.3113 7.1079 5.0261
I 10.2827 3.5405 5.0451
I 10.2827 5.9367 1.6564
I 6.1324 3.5405 5.0451
I 8.2075 7.1348 5.0451
I 6.1324 5.9367 1.6564
Cs 4.1038 2.3693 1.6754
Sc 0.0000 0.0000 0.0000
I 8.2075 2.3425 1.6564
Au 8.2075 4.7386 3.3507
```

**Electronic total energy**: -3.36 eV per atom
**Formation energy (no corrections)**: -1058 meV per atom

# 8
A geometry-optimized Cs2KAu2 structure. Source: Alexandria via LeMat-Bulk, functional GGA-PBEsol.

```
10
Lattice="-3.0004 0.2229 -2.6257 5.5125 -4.7097 -6.6991 -3.4707 -8.6581 3.2310" Properties=species:S:1:pos:R:3 pbc="T T T"
Au -2.8927 -6.4626 -0.2798
Au -0.7060 -10.2384 -3.0990
K 1.0209 -6.6839 -1.7340
Cs -0.9837 -9.2502 0.3388
Au 1.9341 -6.6823 -5.8140
Cs 2.5926 -9.5594 -3.7742
Au -0.2526 -2.9065 -2.9947
K 0.0000 0.0000 0.0000
Cs 3.0255 -4.1176 -3.8069
Cs -0.5508 -3.8084 0.3061
```

**Formation enthalpy at 0 K**: -76 meV/atom
**Electronic total energy**: -2.25 eV per atom
**DOS at the Fermi energy**: 1.647 states/eV/f.u.

# 9
A geometry-optimized CsKAu2 structure. Source: Alexandria via LeMat-Bulk, functional GGA-PBEsol.

```
4
Lattice="5.6836 0.0000 0.0000 2.8418 4.9221 0.0000 2.8418 1.6407 4.6406" Properties=species:S:1:pos:R:3 pbc="T T T"
K 0.0000 0.0000 0.0000
Au 2.8418 1.6407 1.1602
Au 8.5254 4.9221 3.4805
Cs 5.6836 3.2814 2.3203
```

**Formation enthalpy at 0 K**: -116 meV/atom
**Electronic total energy**: -2.60 eV per atom
**DOS at the Fermi energy**: 0.014 states/eV/f.u.

# 10
A geometry-optimized CsK2Au structure. Source: Alexandria via LeMat-Bulk, functional GGA-PBEsol.

```
8
Lattice="-1.7334 -6.4191 -2.2774 6.5243 -5.7551 0.4104 -3.1064 -5.2225 6.2396" Properties=species:S:1:pos:R:3 pbc="T T T"
Au 0.0000 0.0000 0.0000
K -1.1440 -3.9674 3.9197
Au 0.4089 -10.3031 1.6169
K 3.2619 -11.8245 1.0222
K 0.6758 -10.5719 4.8825
Cs -0.8667 -3.2096 -1.1387
K 0.5754 -8.4296 -1.0794
Cs 1.2756 -7.0935 2.7556
```

**Formation enthalpy at 0 K**: -35 meV/atom
**Electronic total energy**: -1.82 eV per atom
**DOS at the Fermi energy**: 1.635 states/eV/f.u.

# 11
A geometry-optimized CsK2AuO2 structure. Source: Alexandria via LeMat-Bulk, functional GGA-PBEsol.

```
24
Lattice="6.2462 0.0000 0.0000 0.0000 7.2620 0.0000 0.0000 0.0000 12.3735" Properties=species:S:1:pos:R:3 pbc="T T T"
O 0.3988 5.4465 9.5895
O 3.5715 5.4465 12.1452
Au 4.2576 5.4465 4.6835
K 4.0436 3.6279 1.7248
Cs 1.1643 5.4465 1.1782
K 5.3256 0.0031 7.9115
K 0.9206 7.2589 4.4620
Cs 1.9588 5.4465 7.3650
O 5.8474 1.8155 2.7840
K 0.9206 3.6341 4.4620
K 2.2025 7.2589 10.6488
O 2.7243 5.4465 3.4027
K 2.2025 3.6341 10.6488
Cs 4.2874 1.8155 5.0085
O 0.4484 1.8155 6.4151
Cs 5.0819 1.8155 11.1953
O 5.7978 5.4465 5.9584
K 4.0436 0.0031 1.7248
Au 1.9886 1.8155 7.6900
O 2.6747 1.8155 0.2283
Au 1.1345 1.8155 1.5032
Au 5.1117 5.4465 10.8703
O 3.5219 1.8155 8.9708
K 5.3256 3.6279 7.9115
```

**Electronic total energy**: -3.98 eV per atom
**DOS at the Fermi energy**: 0.000 states/eV/f.u.
**Formation energy (no corrections)**: -1044 meV per atom

# 12
A geometry-optimized CsLa2AuO structure. Source: Alexandria via LeMat-Bulk, functional GGA-PBEsol.

```
5
Lattice="-1.1084 1.3331 4.0663 -0.2680 -5.5957 1.7615 5.6786 0.1952 1.4840" Properties=species:S:1:pos:R:3 pbc="T T T"
La 2.8393 0.0976 0.7420
Cs 0.0000 0.0000 0.0000
Au 2.1511 -2.0337 3.6558
O -0.5542 0.6665 2.0331
La -0.1340 -2.7979 0.8807
```

**Electronic total energy**: -3.61 eV per atom
**DOS at the Fermi energy**: 5.840 states/eV/f.u.
**Formation energy (no corrections)**: 549 meV per atom